# 1
# PmPuOs (PBE, optimized geometry)
data_PmPuOs
_cell_length_a 7.725
_cell_length_b 4.322
_cell_length_c 8.622
_cell_angle_alpha 90.00
_cell_angle_beta 90.00
_cell_angle_gamma 90.00
_symmetry_space_group_name_H-M 'P n m a'
_symmetry_Int_Tables_number 62
loop_
_symmetry_equiv_pos_as_xyz
'x,y,z'
'-x,-y,-z'
'-x+1/2,-y,z+1/2'
'x+1/2,y,-z+1/2'
'x+1/2,-y+1/2,-z+1/2'
'-x+1/2,y+1/2,z+1/2'
'-x,y+1/2,-z'
'x,-y+1/2,z'
loop_
_atom_site_label
_atom_site_type_symbol
_atom_site_fract_x
_atom_site_fract_y
_atom_site_fract_z
Pm1 Pm 0.022 0.250 0.171
Pu1 Pu 0.150 0.250 0.571
Os1 Os 0.223 0.750 0.382
# Formation energy from the elements: -0.10 eV/atom
# V: 23.99 A^3/atom
# Total moment: 1.73 μB/atom
# Polymorph energy (0 for the lowest one): 0.000 eV per atom
# DOS at the Fermi energy: 6.39 states/eV/f.u.



# 2
# PmPuOs (PBE, optimized geometry)
data_PmPuOs
_cell_length_a 11.738
_cell_length_b 4.283
_cell_length_c 11.819
_cell_angle_alpha 90.00
_cell_angle_beta 97.83
_cell_angle_gamma 90.00
_symmetry_space_group_name_H-M 'C 1 2/m 1'
_symmetry_Int_Tables_number 12
loop_
_symmetry_equiv_pos_as_xyz
'x,y,z'
'-x,-y,-z'
'-x,y,-z'
'x,-y,z'
'x+1/2,y+1/2,z'
'-x+1/2,-y+1/2,-z'
'-x+1/2,y+1/2,-z'
'x+1/2,-y+1/2,z'
loop_
_atom_site_label
_atom_site_type_symbol
_atom_site_fract_x
_atom_site_fract_y
_atom_site_fract_z
Pm1 Pm 0.083 0.000 0.152
Pm2 Pm 0.090 0.500 0.678
Pu1 Pu 0.140 0.000 0.449
Pu2 Pu 0.216 0.000 0.890
Os1 Os 0.090 0.500 0.938
Os2 Os 0.226 0.500 0.339
# Formation energy from the elements: -0.05 eV/atom
# V: 24.53 A^3/atom
# Total moment: 1.71 μB/atom
# Polymorph energy (0 for the lowest one): 0.045 eV per atom
# DOS at the Fermi energy: 7.06 states/eV/f.u.



Repeat the second record exactly.
# PmPuOs (PBE, optimized geometry)
data_PmPuOs
_cell_length_a 11.738
_cell_length_b 4.283
_cell_length_c 11.819
_cell_angle_alpha 90.00
_cell_angle_beta 97.83
_cell_angle_gamma 90.00
_symmetry_space_group_name_H-M 'C 1 2/m 1'
_symmetry_Int_Tables_number 12
loop_
_symmetry_equiv_pos_as_xyz
'x,y,z'
'-x,-y,-z'
'-x,y,-z'
'x,-y,z'
'x+1/2,y+1/2,z'
'-x+1/2,-y+1/2,-z'
'-x+1/2,y+1/2,-z'
'x+1/2,-y+1/2,z'
loop_
_atom_site_label
_atom_site_type_symbol
_atom_site_fract_x
_atom_site_fract_y
_atom_site_fract_z
Pm1 Pm 0.083 0.000 0.152
Pm2 Pm 0.090 0.500 0.678
Pu1 Pu 0.140 0.000 0.449
Pu2 Pu 0.216 0.000 0.890
Os1 Os 0.090 0.500 0.938
Os2 Os 0.226 0.500 0.339
# Formation energy from the elements: -0.05 eV/atom
# V: 24.53 A^3/atom
# Total moment: 1.71 μB/atom
# Polymorph energy (0 for the lowest one): 0.045 eV per atom
# DOS at the Fermi energy: 7.06 states/eV/f.u.